No. 1
Below is a relaxed structure of CaTi4Se8, with properties calculated at the PBE-GGA level.

## Properties
- Offset from the most stable computed form: 1.58 eV per formula unit
- Total energy: -5.88 eV per atom
- ρ: 4.4 g/cm³
- Raw formation energy: -1.154 eV per atom

Cell lengths 7.706, 7.706, 7.706 Å; angles 60.00, 60.00, 60.00 degrees
Site moments in Bohr magnetons follow the coordinates.
Element x y z (fractional)
Se 0.607 0.607 0.607  -0.03
Se 0.607 0.179 0.607  -0.03
Se 0.607 0.607 0.179  -0.03
Ti 0.905 0.365 0.365  0.48
Se 0.130 0.611 0.130  -0.03
Ti 0.365 0.365 0.365  0.48
Ti 0.365 0.905 0.365  0.48
Se 0.611 0.130 0.130  -0.03
Se 0.130 0.130 0.130  -0.03
Se 0.179 0.607 0.607  -0.03
Ca 0.750 0.750 0.750  -0.01
Se 0.130 0.130 0.611  -0.03
Ti 0.365 0.365 0.905  0.48

=====

No. 2
Below is a relaxed structure of CaTi2Se, with properties calculated at the PBE-GGA level.

## Properties
- Total energy: -5.41 eV per atom
- ρ: 3.8 g/cm³
- Raw formation energy: -0.088 eV per atom

Cell lengths 4.439, 4.439, 10.137 Å; angles 77.35, 77.35, 90.00 degrees
Element x y z (fractional)
Ti 0.875 0.625 0.250
Ca 0.500 0.500 0.000
Se 0.750 0.250 0.500
Ti 0.875 0.125 0.750
Ti 0.875 0.125 0.250
Ti 0.375 0.125 0.750
Se 0.000 0.000 0.000
Ca 0.250 0.750 0.500

=====

No. 3
Below is a relaxed structure of Ca2TiTlSe, with properties calculated at the PBE-GGA level.

## Properties
- Total energy: -3.52 eV per atom
- ρ: 3.9 g/cm³
- Raw formation energy: 0.027 eV per atom

Cell lengths 5.397, 6.077, 5.397 Å; angles 90.00, 90.00, 90.00 degrees
Site moments in Bohr magnetons follow the coordinates.
Element x y z (fractional)
Ti 0.500 0.500 0.500  1.96
Tl 0.000 0.500 0.000  0.03
Se 0.000 0.000 0.000  0.02
Ca 0.000 0.000 0.500  0.04
Ca 0.500 0.000 0.000  0.02

=====

No. 4
Below is a relaxed structure of Ca2TiTl3Se6, with properties calculated at the PBE-GGA level.

## Properties
- Total energy: -4.38 eV per atom
- ρ: 6.1 g/cm³
- Raw formation energy: -1.057 eV per atom

Cell lengths 7.227, 7.227, 7.686 Å; angles 99.30, 99.30, 120.05 degrees
Element x y z (fractional)
Tl 0.500 0.500 0.500
Ca 0.336 0.664 0.000
Se 0.366 0.069 0.203
Se 0.773 0.773 0.212
Ca 0.664 0.336 0.000
Se 0.634 0.931 0.797
Tl 0.170 0.830 0.500
Tl 0.830 0.170 0.500
Se 0.069 0.366 0.203
Se 0.931 0.634 0.797
Ti 0.000 0.000 0.000
Se 0.227 0.227 0.788

=====

No. 5
Below is a relaxed structure of CaYTiSe2, with properties calculated at the PBE-GGA level.

## Properties
- Total energy: -4.08 eV per atom
- ρ: 3.6 g/cm³
- Raw formation energy: 0.587 eV per atom

Cell lengths 5.256, 5.550, 5.256 Å; angles 90.00, 90.00, 90.00 degrees
Site moments in Bohr magnetons follow the coordinates.
Element x y z (fractional)
Ca 0.000 0.000 0.000  0.11
Se 0.000 0.000 0.500  0.01
Ti 0.500 0.500 0.500  -0.08
Se 0.500 0.000 0.000  0.00
Y 0.000 0.500 0.000  0.33

=====

No. 6
Below is a relaxed structure of CaTl5Se4, with properties calculated at the PBE-GGA level.

## Properties
- Total energy: -3.40 eV per atom
- ρ: 7.1 g/cm³
- Raw formation energy: -0.627 eV per atom

Cell lengths 4.303, 8.582, 10.047 Å; angles 116.82, 102.37, 90.00 degrees
Element x y z (fractional)
Tl 0.848 0.189 0.697
Tl 0.192 0.339 0.384
Se 0.963 0.734 0.926
Tl 0.500 0.500 0.000
Se 0.037 0.266 0.074
Tl 0.808 0.661 0.616
Se 0.333 0.927 0.665
Se 0.667 0.073 0.335
Ca 0.500 0.000 0.000
Tl 0.152 0.811 0.303

=====

No. 7
Below is a relaxed structure of Ca3Tl5Se12, with properties calculated at the PBE-GGA level.

## Properties
- Total energy: -3.53 eV per atom
- ρ: 5.8 g/cm³
- Raw formation energy: -0.544 eV per atom

Cell lengths 14.610, 14.610, 14.610 Å; angles 109.47, 109.47, 109.47 degrees
Element x y z (fractional)
Se 0.776 0.328 0.914
Se 0.052 0.638 0.724
Tl 0.625 0.875 0.250
Se 0.586 0.724 0.672
Tl 0.500 0.500 0.500
Se 0.414 0.276 0.328
Se 0.138 0.724 0.552
Se 0.552 0.224 0.138
Se 0.776 0.448 0.362
Se 0.172 0.086 0.948
Tl 0.000 0.000 0.000
Se 0.414 0.138 0.586
Ca 0.750 0.875 0.625
Se 0.724 0.138 0.052
Se 0.914 0.086 0.862
Se 0.448 0.672 0.086
Tl 0.875 0.625 0.750
Se 0.086 0.172 0.448
Ca 0.375 0.750 0.625
Tl 0.500 0.000 0.000
Se 0.862 0.276 0.448
Se 0.948 0.586 0.172
Tl 0.625 0.750 0.875
Ca 0.875 0.125 0.250
Ca 0.625 0.375 0.750
Tl 0.375 0.250 0.125
Se 0.276 0.862 0.948
Ca 0.875 0.750 0.125
Se 0.914 0.828 0.552
Se 0.362 0.948 0.776
Tl 0.750 0.625 0.375
Ca 0.250 0.125 0.375
Ca 0.375 0.625 0.250
Se 0.724 0.586 0.172
Se 0.862 0.586 0.914
Tl 0.375 0.125 0.750
Se 0.914 0.828 0.776
Se 0.828 0.914 0.052
Tl 0.000 0.500 0.000
Se 0.552 0.328 0.914
Ca 0.750 0.375 0.125
Se 0.086 0.172 0.224
Se 0.828 0.914 0.276
Tl 0.750 0.125 0.875
Ca 0.125 0.875 0.750
Se 0.362 0.414 0.086
Tl 0.500 0.000 0.500
Tl 0.125 0.750 0.375
Se 0.586 0.862 0.414
Tl 0.000 0.500 0.500
Se 0.414 0.052 0.328
Se 0.672 0.224 0.586
Se 0.586 0.638 0.414
Se 0.276 0.414 0.828
Tl 0.125 0.375 0.250
Ca 0.125 0.250 0.875
Se 0.328 0.552 0.414
Se 0.448 0.776 0.862
Se 0.672 0.448 0.586
Se 0.948 0.362 0.276
Ca 0.625 0.250 0.375
Tl 0.500 0.500 0.000
Se 0.224 0.672 0.086
Tl 0.875 0.250 0.625
Se 0.414 0.362 0.586
Se 0.914 0.086 0.638
Se 0.638 0.586 0.914
Se 0.586 0.948 0.672
Tl 0.250 0.875 0.125
Se 0.138 0.414 0.086
Se 0.638 0.052 0.224
Se 0.172 0.086 0.724
Se 0.224 0.552 0.638
Se 0.086 0.914 0.138
Se 0.086 0.914 0.362
Ca 0.250 0.625 0.875
Se 0.328 0.776 0.414
Se 0.052 0.414 0.828
Tl 0.250 0.375 0.625
Tl 0.000 0.000 0.500

=====

No. 8
Below is a relaxed structure of CaTlSe4, with properties calculated at the PBE-GGA level.

## Properties
- Total energy: -3.27 eV per atom
- ρ: 6.1 g/cm³
- Raw formation energy: -0.217 eV per atom

Cell lengths 5.982, 5.982, 5.982 Å; angles 60.00, 60.00, 60.00 degrees
Element x y z (fractional)
Se 0.375 0.876 0.375
Se 0.375 0.375 0.375
Se 0.876 0.375 0.375
Ca 0.000 0.000 0.000
Se 0.375 0.375 0.876
Tl 0.750 0.750 0.750